TiCdIn2Ru | PBE | optimized geometry

Space group: P4/mmm (123)
Energy relative to the elements (eV/atom): 0.22
Size of the total moment (μB per formula unit): 0.00
V (Å³/cell): 124.86

Cell lengths 5.2123, 4.5957, 5.2123 Å; angles 90.00, 90.00, 90.00 degrees
With the nearest neighbours (Å) after each atom.
Element x y z (fractional)
Ru 0.0000 0.0000 0.0000  2 Ti 2.30
Cd 0.5000 0.5000 0.5000  8 In 3.47, 4 Ti 3.69
Ti 0.0000 0.5000 0.0000  2 Ru 2.30
In 0.0000 0.0000 0.5000  2 Ru 2.61
In 0.5000 0.0000 0.0000  2 Ru 2.61